## CoSe2BrO (PBE+U)

Data for a geometry-optimized CoSe2BrO structure.

M_tot, Bohr magnetons per cell: 2.71
Relative energy among the computed polymorphs, meV/atom: 0
SG: P4/mmm, No. 123

Unit cell a=4.0682 b=4.0682 c=6.8608 alpha=90.00 beta=90.00 gamma=90.00
Atoms (fractional coordinates):
1 Co 0.0000 0.0000 0.0000
2 Se 0.0000 0.5000 0.5000
3 Se 0.5000 0.0000 0.5000
4 Br 0.5000 0.5000 0.0000
5 O 0.5000 0.5000 0.5000